No. 1
A relaxed Mg3CuSe crystal, computed with GGA-PBEsol.

Calculated values
- raw formation energy (eV/atom) = 0.2754

Cell: 4.926 4.926 4.926 Å, 90.00 90.00 90.00°
Sites, in units of the cell vectors:
Cu: 0.500 0.500 0.500
Se: 0.000 0.000 0.000
Mg: 0.000 0.500 0.000
Mg: 0.000 0.000 0.500
Mg: 0.500 0.000 0.000

=====

No. 2
A relaxed Mg2CuSe2 crystal, computed with GGA-PBEsol.

Calculated values
- raw formation energy (eV/atom) = -0.6685

Cell: 5.341 5.669 6.885 Å, 114.24 90.00 90.00°
Sites, in units of the cell vectors:
Se: 0.796 0.612 0.213
Se: 0.296 0.101 0.213
Se: 0.296 0.388 0.787
Se: 0.796 0.899 0.787
Cu: 0.044 0.999 0.500
Cu: 0.544 0.001 0.500
Mg: 0.796 0.145 0.217
Mg: 0.296 0.855 0.783
Mg: 0.796 0.428 0.784
Mg: 0.296 0.572 0.216